(1)
ScZnPt, optimized geometry, DFT PBE; energy of formation from the pure elements = -766 meV/atom; total DFT energy (no corrections) = -63.78 eV/cell
1.0
6.217 0.000 0.000
0.000 6.217 0.000
0.000 0.000 6.217
Sc Zn Pt
4 4 4
Direct
0.000 0.000 0.000
0.000 0.500 0.500
0.500 0.000 0.500
0.500 0.500 0.000
0.000 0.000 0.500
0.000 0.500 0.000
0.500 0.000 0.000
0.500 0.500 0.500
0.250 0.250 0.250
0.250 0.750 0.750
0.750 0.250 0.750
0.750 0.750 0.250

(2)
KNbAuSe3, optimized geometry, DFT PBE; total DFT energy (no corrections) = -57.14 eV/cell
1.0
1.890 -7.739 0.000
1.890 7.739 0.000
0.000 0.000 10.234
K Nb Au Se
2 2 2 6
Direct
0.241 0.759 0.750
0.759 0.241 0.250
0.000 0.000 0.000
0.000 0.000 0.500
0.452 0.548 0.250
0.548 0.452 0.750
0.073 0.927 0.250
0.378 0.622 0.030
0.378 0.622 0.470
0.622 0.378 0.530
0.622 0.378 0.970
0.927 0.073 0.750

(3)
Ag17Pb, optimized geometry, DFT PBE; total DFT energy (no corrections) = -101.35 eV/cell
1.0
5.039 0.000 0.000
0.000 5.801 0.000
-0.060 0.000 30.272
Ag Pb
34 2
Direct
0.000 0.000 0.000
0.000 0.500 0.000
0.004 0.003 0.237
0.004 0.497 0.237
0.165 0.250 0.842
0.167 0.250 0.079
0.167 0.750 0.079
0.167 0.750 0.842
0.168 0.750 0.314
0.331 0.002 0.685
0.331 0.498 0.685
0.332 0.001 0.921
0.332 0.499 0.921
0.334 0.000 0.158
0.334 0.500 0.158
0.497 0.250 0.764
0.499 0.250 0.237
0.500 0.250 0.000
0.500 0.750 0.000
0.501 0.750 0.763
0.503 0.750 0.236
0.666 0.000 0.842
0.666 0.500 0.842
0.668 0.501 0.079
0.668 0.999 0.079
0.669 0.502 0.315
0.669 0.998 0.315
0.832 0.250 0.686
0.833 0.250 0.158
0.833 0.250 0.921
0.833 0.750 0.921
0.835 0.750 0.158
0.996 0.503 0.763
0.996 0.997 0.763
0.168 0.250 0.338
0.832 0.750 0.662